Record 1
This record from the Alexandria database describes an optimized crystal structure of Ce2PrBi. The functional is GGA-PBE.

Lattice parameters (Å, degrees): 4.591 4.449 11.970 90.00 100.23 90.00
Fractional positions:
Ce: 0.602 0.250 0.109
Ce: 0.398 0.750 0.891
Ce: 0.993 0.750 0.112
Ce: 0.007 0.250 0.888
Pr: 0.699 0.750 0.389
Pr: 0.301 0.250 0.611
Bi: 0.176 0.250 0.328
Bi: 0.824 0.750 0.672

## Properties
Symmetry ... P2_1/m, No. 11
Fermi-level density of states ... 15.62 states/eV/cell
Crystal system ... monoclinic
ΔH_f (0 K) ... -0.4604 eV per atom
E above lowest polymorph ... 0 meV/atom

Record 2
This record from the Alexandria database describes an optimized crystal structure of CePrBi. The functional is GGA-PBE.

Lattice parameters (Å, degrees): 3.786 5.462 5.462 120.00 90.00 90.00
Each line ends with the local moment (μB).
Fractional positions:
Pr: 0.611 0.667 0.333  0.20
Bi: 0.339 0.333 0.667  -0.02
Ce: 0.050 0.000 0.000  1.09

## Properties
Symmetry ... P3m1, No. 156
Fermi-level density of states ... 7.87 states/eV/cell
Crystal system ... trigonal
ΔH_f (0 K) ... -0.2321 eV per atom

Record 3
This record from the Alexandria database describes an optimized crystal structure of CePr4Bi5. The functional is GGA-PBE.

Lattice parameters (Å, degrees): 4.633 6.546 12.259 105.48 100.89 90.00
Each line ends with the local moment (μB).
Fractional positions:
Ce: 0.000 0.000 0.000  0.76
Pr: 0.399 0.399 0.799  0.00
Pr: 0.800 0.800 0.600  0.00
Pr: 0.200 0.200 0.400  0.00
Pr: 0.601 0.601 0.201  0.00
Bi: 0.598 0.098 0.196  -0.02
Bi: 0.800 0.300 0.599  0.00
Bi: 0.200 0.700 0.401  0.00
Bi: 0.000 0.500 0.000  -0.02
Bi: 0.402 0.902 0.804  -0.02

## Properties
Symmetry ... Immm, No. 71
Fermi-level density of states ... 7.72 states/eV/cell
Crystal system ... orthorhombic
ΔH_f (0 K) ... -0.9303 eV per atom
E above lowest polymorph ... 0 meV/atom

Record 4
This record from the Alexandria database describes an optimized crystal structure of CePrBi2. The functional is GGA-PBE.

Lattice parameters (Å, degrees): 4.572 4.572 8.299 74.01 74.01 60.00
Each line ends with the local moment (μB).
Fractional positions:
Ce: 0.669 0.669 0.993  0.80
Pr: 0.497 0.497 0.508  0.03
Bi: 0.081 0.081 0.758  -0.03
Bi: 0.253 0.253 0.242  -0.04

## Properties
Symmetry ... R3m, No. 160
Fermi-level density of states ... 6.58 states/eV/cell
Crystal system ... trigonal
ΔH_f (0 K) ... -0.7728 eV per atom
E above lowest polymorph ... 107 meV/atom

Record 5
This record from the Alexandria database describes an optimized crystal structure of CePr3Bi2. The functional is GGA-PBE.

Lattice parameters (Å, degrees): 4.632 4.632 9.168 90.00 90.00 90.00
Each line ends with the local moment (μB).
Fractional positions:
Ce: 0.500 0.500 0.000  0.74
Pr: 0.500 0.000 0.358  0.03
Pr: 0.000 0.500 0.642  0.03
Pr: 0.000 0.000 0.000  0.14
Bi: 0.500 0.000 0.722  -0.01
Bi: 0.000 0.500 0.278  -0.01

## Properties
Symmetry ... P-4m2, No. 115
Fermi-level density of states ... 10.49 states/eV/cell
Crystal system ... tetragonal
ΔH_f (0 K) ... -0.6279 eV per atom

Record 6
This record from the Alexandria database describes an optimized crystal structure of Ce3PrBi12. The functional is GGA-PBE.

Lattice parameters (Å, degrees): 5.034 5.034 19.412 90.00 90.00 90.00
Each line ends with the local moment (μB).
Fractional positions:
Ce: 0.000 0.000 0.253  0.63
Ce: 0.000 0.000 0.500  0.61
Ce: 0.000 0.000 0.747  0.63
Pr: 0.000 0.000 0.000  -0.03
Bi: 0.500 0.500 0.000  0.01
Bi: 0.500 0.500 0.251  -0.02
Bi: 0.500 0.500 0.500  -0.01
Bi: 0.500 0.500 0.749  -0.02
Bi: 0.500 0.000 0.127  -0.01
Bi: 0.500 0.000 0.376  -0.02
Bi: 0.500 0.000 0.624  -0.02
Bi: 0.500 0.000 0.873  -0.01
Bi: 0.000 0.500 0.127  -0.01
Bi: 0.000 0.500 0.376  -0.02
Bi: 0.000 0.500 0.624  -0.02
Bi: 0.000 0.500 0.873  -0.01

## Properties
Symmetry ... P4/mmm, No. 123
Fermi-level density of states ... 19.66 states/eV/cell
Crystal system ... tetragonal
ΔH_f (0 K) ... -0.4559 eV per atom

Record 7
This record from the Alexandria database describes an optimized crystal structure of Ce2PrBi. The functional is GGA-PBE.

Lattice parameters (Å, degrees): 4.301 4.301 6.921 90.00 90.00 90.00
Each line ends with the local moment (μB).
Fractional positions:
Pr: 0.500 0.500 0.000  -0.01
Bi: 0.500 0.500 0.500  -0.02
Ce: 0.000 0.000 0.696  0.65
Ce: 0.000 0.000 0.304  0.65

## Properties
Symmetry ... P4/mmm, No. 123
Fermi-level density of states ... 9.52 states/eV/cell
Crystal system ... tetragonal
ΔH_f (0 K) ... -0.3417 eV per atom
E above lowest polymorph ... 119 meV/atom

Record 8
This record from the Alexandria database describes an optimized crystal structure of Ce4PrBi5. The functional is GGA-PBE.

Lattice parameters (Å, degrees): 4.612 6.521 12.201 105.50 100.90 90.00
Each line ends with the local moment (μB).
Fractional positions:
Ce: 0.400 0.400 0.801  0.84
Ce: 0.800 0.800 0.600  0.84
Ce: 0.200 0.200 0.400  0.84
Ce: 0.600 0.600 0.199  0.84
Pr: 0.000 0.000 0.000  0.01
Bi: 0.601 0.101 0.203  -0.03
Bi: 0.800 0.300 0.601  -0.04
Bi: 0.200 0.700 0.399  -0.04
Bi: 0.000 0.500 0.000  -0.03
Bi: 0.399 0.899 0.797  -0.03

## Properties
Symmetry ... Immm, No. 71
Fermi-level density of states ... 25.79 states/eV/cell
Crystal system ... orthorhombic
ΔH_f (0 K) ... -0.8263 eV per atom